A relaxed ScFeH2Cl crystal. Source: the Alexandria database, functional GGA-PBE.

spin magnetization	1.7	μB per formula unit
DOS at the Fermi energy	3.11	states/eV per cell
volume	74	Å³/cell

Lattice parameters (Å, degrees): 3.642 3.642 5.560 90.00 90.00 90.00
Space group P4/mmm (No. 123)
Unique sites:
Sc: 0.000 0.000 0.000
Fe: 0.500 0.500 0.000
H: 0.000 0.500 0.500
Cl: 0.000 0.000 0.500


A relaxed CaFe2Ni2 crystal. Source: the Alexandria database, functional GGA-PBE.

spin magnetization	6.8	μB per formula unit
DOS at the Fermi energy	10.29	states/eV per cell
ΔE_f	0.080	eV/atom
volume	157	Å³/cell
relative energy among the computed polymorphs	0	meV per atom

Lattice parameters (Å, degrees): 3.994 3.994 9.872 90.00 90.00 90.00
Space group I4/mmm (No. 139)
Unique sites:
Ca: 0.000 0.000 0.000
Fe: 0.000 0.500 0.250
Ni: 0.000 0.000 0.379


These records have final energy values of -19.2; -30.1 eV/f.u., in the order they appear.